DFT (GGA-PBE) results for a relaxed ZrNi5Sb3 crystal.

abc: 7.6111 7.6111 5.6100
angles: 90.00 90.00 120.00
Last column: nearest neighbours and their distance in Å.
Space group P6_3/mcm (No. 193)
Unique sites:
Zr (0.0000, 0.0000, 0.0000) (multiplicity 2)  2 Zr 2.81, 6 Ni 2.89, 6 Sb 3.00
Ni (0.0000, 0.3322, 0.2500) (multiplicity 6)  3 Sb 2.44-2.59
Ni (0.3333, 0.6667, 0.0000) (multiplicity 4)  8 Ni 2.81-2.90, 6 Sb 2.85
Sb (0.0000, 0.3478, 0.7500) (multiplicity 6)  3 Ni 2.44-2.59

=====

DFT (GGA-PBE) results for a relaxed ZrNiSb crystal.

abc: 4.4029 4.9432 10.4514
angles: 90.00 90.00 90.00
Last column: nearest neighbours and their distance in Å.
Space group Fmm2 (No. 42)
Unique sites:
Zr (0.0000, 0.0000, 0.0000) (multiplicity 4)  4 Ni 2.65-2.88
Ni (0.0000, 0.0000, 0.3584) (multiplicity 4)  4 Zr 2.65-2.88, 4 Sb 2.72-2.94
Sb (0.0000, 0.0000, 0.7063) (multiplicity 4)  4 Ni 2.72-2.94

=====

DFT (GGA-PBE) results for a relaxed Zr3NiSb7 crystal.

abc: 17.7126 3.9595 14.5028
angles: 90.00 90.00 90.00
Last column: nearest neighbours and their distance in Å.
Space group Pnma (No. 62)
Unique sites:
Zr (0.1075, 0.2500, 0.0905) (multiplicity 4)  8 Sb 2.98-3.20, 1 Ni 3.29
Zr (0.1298, 0.2500, 0.5287) (multiplicity 4)  8 Sb 2.97-3.04
Zr (0.1541, 0.2500, 0.8090) (multiplicity 4)  9 Sb 2.99-3.16
Ni (0.0625, 0.2500, 0.3109) (multiplicity 4)  6 Sb 2.59-2.73
Sb (0.0207, 0.7500, 0.2020) (multiplicity 4)  2 Ni 2.64
Sb (0.0371, 0.7500, 0.4239) (multiplicity 4)  2 Ni 2.61
Sb (0.0713, 0.7500, 0.9392) (multiplicity 4)  5 Zr 3.02-3.20, 2 Sb 3.28
Sb (0.0912, 0.7500, 0.6749) (multiplicity 4)  1 Ni 2.73, 4 Zr 2.98-2.99
Sb (0.2086, 0.2500, 0.3147) (multiplicity 4)  1 Ni 2.59
Sb (0.2278, 0.7500, 0.1454) (multiplicity 4)  4 Zr 3.02-3.16, 4 Sb 3.15-3.17
Sb (0.2479, 0.7500, 0.4788) (multiplicity 4)  4 Zr 2.97-3.03, 4 Sb 3.15-3.17

=====

DFT (GGA-PBE) results for a relaxed ZrNi2Sb crystal.

abc: 3.2630 3.2630 6.2483
angles: 90.00 90.00 90.00
Last column: nearest neighbours and their distance in Å.
Space group P4mm (No. 99)
Unique sites:
Zr (0.0000, 0.0000, 0.0000) (multiplicity 1)  5 Ni 2.72
Ni (0.0000, 0.0000, 0.4352) (multiplicity 1)  4 Ni 2.64, 4 Sb 2.66, 1 Zr 2.72
Ni (0.5000, 0.5000, 0.2293) (multiplicity 1)  1 Sb 2.61, 4 Ni 2.64, 4 Zr 2.72
Sb (0.5000, 0.5000, 0.6474) (multiplicity 1)  5 Ni 2.61-2.66

=====

DFT (GGA-PBE) results for a relaxed ZrNiSb crystal.

abc: 3.2926 3.2926 10.4809
angles: 90.00 90.00 90.00
Last column: nearest neighbours and their distance in Å.
Space group I4mm (No. 107)
Unique sites:
Zr (0.0000, 0.0000, 0.0000) (multiplicity 2)  4 Ni 2.75, 1 Sb 3.06
Ni (0.0000, 0.0000, 0.3611) (multiplicity 2)  4 Zr 2.75, 4 Sb 2.83
Sb (0.0000, 0.0000, 0.7080) (multiplicity 2)  4 Ni 2.83, 1 Zr 3.06

=====

DFT (GGA-PBE) results for a relaxed ZrNiSb2 crystal.

abc: 3.2016 4.0800 7.5040
angles: 90.00 102.24 90.00
Last column: nearest neighbours and their distance in Å.
Space group Pm (No. 6)
Unique sites:
Zr (0.0000, 0.0000, 0.0000) (multiplicity 1)  4 Ni 2.79, 6 Sb 3.06-3.08
Ni (0.5708, 0.5000, 0.1409) (multiplicity 1)  3 Sb 2.59-2.67, 4 Zr 2.79
Sb (0.3891, 0.5000, 0.7774) (multiplicity 1)  1 Ni 2.67
Sb (0.6778, 0.0000, 0.3587) (multiplicity 1)  2 Ni 2.59

=====

DFT (GGA-PBE) results for a relaxed ZrNi2Sb crystal.

abc: 4.2380 4.2380 8.3264
angles: 90.00 90.00 120.00
Last column: nearest neighbours and their distance in Å.
Space group P6_3/mmc (No. 194)
Unique sites:
Zr (0.3333, 0.6667, 0.2500) (multiplicity 2)  8 Ni 2.76-2.88
Ni (0.3333, 0.6667, 0.5965) (multiplicity 4)  1 Ni 2.56, 3 Sb 2.58, 3 Zr 2.76
Sb (0.0000, 0.0000, 0.0000) (multiplicity 2)  6 Ni 2.58

=====

DFT (GGA-PBE) results for a relaxed ZrNiSb2 crystal.

abc: 6.9736 6.9736 6.9736
angles: 90.00 90.00 90.00
Last column: nearest neighbours and their distance in Å.
Space group F-43m (No. 216)
Unique sites:
Zr (0.0000, 0.0000, 0.0000) (multiplicity 4)  4 Ni 3.02, 4 Sb 3.02
Ni (0.2500, 0.2500, 0.2500) (multiplicity 4)  4 Zr 3.02, 4 Sb 3.02
Sb (0.0000, 0.0000, 0.5000) (multiplicity 4)  4 Sb 3.02, 4 Ni 3.02
Sb (0.2500, 0.2500, 0.7500) (multiplicity 4)  4 Zr 3.02, 4 Sb 3.02

=====

DFT (GGA-PBE) results for a relaxed ZrNi2Sb crystal.

abc: 4.1371 4.1371 17.0774
angles: 90.00 90.00 90.00
Last column: nearest neighbours and their distance in Å.
Space group I-42d (No. 122)
Unique sites:
Zr (0.0000, 0.0000, 0.0000) (multiplicity 4)  4 Ni 2.63, 4 Sb 2.93
Ni (0.2280, 0.2500, 0.6250) (multiplicity 8)  2 Sb 2.55, 2 Zr 2.63, 2 Ni 2.80
Sb (0.0000, 0.0000, 0.5000) (multiplicity 4)  4 Ni 2.55

=====

DFT (GGA-PBE) results for a relaxed ZrNi15Sb4 crystal.

abc: 3.7466 3.7466 18.5840
angles: 90.00 90.00 90.00
Last column: nearest neighbours and their distance in Å.
Space group P4/mmm (No. 123)
Unique sites:
Zr (0.0000, 0.0000, 0.0000) (multiplicity 1)  12 Ni 2.65
Ni (0.0000, 0.5000, 0.1009) (multiplicity 4)  2 Sb 2.63, 8 Ni 2.65, 2 Zr 2.65
Ni (0.0000, 0.5000, 0.3003) (multiplicity 4)  8 Ni 2.62-2.65, 4 Sb 2.64
Ni (0.0000, 0.5000, 0.5000) (multiplicity 2)  4 Sb 2.64, 8 Ni 2.64-2.65
Ni (0.5000, 0.5000, 0.0000) (multiplicity 1)  4 Zr 2.65, 8 Ni 2.65
Ni (0.5000, 0.5000, 0.2015) (multiplicity 2)  8 Ni 2.62-2.65, 4 Sb 2.65
Ni (0.5000, 0.5000, 0.3997) (multiplicity 2)  8 Ni 2.63-2.64, 4 Sb 2.65
Sb (0.0000, 0.0000, 0.2005) (multiplicity 2)  12 Ni 2.63-2.65
Sb (0.0000, 0.0000, 0.4001) (multiplicity 2)  12 Ni 2.64-2.65

=====

DFT (GGA-PBE) results for a relaxed ZrNi2Sb crystal.

abc: 4.0849 3.6714 8.9132
angles: 90.00 90.00 90.00
Last column: nearest neighbours and their distance in Å.
Space group Amm2 (No. 38)
Unique sites:
Zr (0.0000, 0.0000, 0.0000) (multiplicity 2)  7 Ni 2.53-2.81
Ni (0.0000, 0.0000, 0.7159) (multiplicity 2)  2 Ni 2.45, 3 Zr 2.53-2.66
Ni (0.5000, 0.0000, 0.5642) (multiplicity 2)  2 Ni 2.45, 3 Sb 2.53-2.66
Sb (0.5000, 0.0000, 0.2803) (multiplicity 2)  7 Ni 2.53-2.81

=====

DFT (GGA-PBE) results for a relaxed ZrNiSb2 crystal.

abc: 6.9012 6.9012 6.9012
angles: 90.00 90.00 90.00
Last column: nearest neighbours and their distance in Å.
Space group Fm-3m (No. 225)
Unique sites:
Zr (0.0000, 0.0000, 0.0000) (multiplicity 4)  8 Sb 2.99
Ni (0.0000, 0.0000, 0.5000) (multiplicity 4)  8 Sb 2.99
Sb (0.2500, 0.2500, 0.2500) (multiplicity 8)  4 Ni 2.99, 4 Zr 2.99

=====

Uncorrected formation energy: -0.174; -0.285; -0.507; -0.204; -0.281; -0.294; -0.557; 0.133; -0.039; -0.200; -0.364; -0.043 (eV per atom)
N(E_F): 13.4; 10.6; 13.8; 3.4; 4.7; 3.3; 7.7; 14.2; 4.3; 12.6; 4.7; 7.1 (states/eV per cell)
Energy: -5.71; -6.44; -5.99; -6.26; -6.43; -5.94; -6.61; -5.51; -6.10; -5.79; -6.42; -5.69 (eV/atom)